[1]
Computed, not measured: an optimized crystal structure of MnAu at the GGA-PBE level of DFT.

a b c (Å): 4.5434 4.5434 5.3156
angles (deg): 90.00 90.00 120.00
Last column: magnetic moment on the atom in μB.
Fractional coordinates of all 4 atoms:
Au  0.3333  0.6667  0.7500  0.14
Au  0.6667  0.3333  0.2500  0.14
Mn  0.6667  0.3333  0.7500  4.11
Mn  0.3333  0.6667  0.2500  4.11

## Properties
For the volume, the calculation gives 95.0 Å³ per cell. The formation energy is 48 kJ/mol of atoms. The calculation puts the theoretical density at 8.80 Mg/m³. As for the space-group type: No. 194.



[2]
Computed, not measured: an optimized crystal structure of MnAu at the GGA-PBE level of DFT.

a b c (Å): 9.3816 9.3816 2.7442
angles (deg): 90.00 90.00 90.00
Last column: magnetic moment on the atom in μB.
Fractional coordinates of all 16 atoms:
Mn  0.0422  0.3631  0.5000  0.91
Mn  0.9578  0.6369  0.5000  0.91
Mn  0.8631  0.4578  0.0000  0.91
Mn  0.1369  0.5422  0.0000  0.91
Mn  0.3631  0.9578  0.5000  0.91
Mn  0.6369  0.0422  0.5000  0.91
Mn  0.5422  0.8631  0.0000  0.91
Mn  0.4578  0.1369  0.0000  0.91
Au  0.3331  0.3668  0.5000  0.03
Au  0.3668  0.6669  0.5000  0.03
Au  0.6669  0.6332  0.5000  0.03
Au  0.8668  0.1669  0.0000  0.03
Au  0.1669  0.1332  0.0000  0.03
Au  0.6332  0.3331  0.5000  0.03
Au  0.8331  0.8668  0.0000  0.03
Au  0.1332  0.8331  0.0000  0.03

## Properties
For the volume, the calculation gives 241.5 Å³ per cell. The formation energy is 26 kJ/mol of atoms. The calculation puts the theoretical density at 13.86 Mg/m³. As for the space-group type: No. 87.



[3]
Computed, not measured: an optimized crystal structure of MnAu at the GGA-PBE level of DFT.

a b c (Å): 4.5339 4.5339 4.5339
angles (deg): 60.00 60.00 60.00
Last column: magnetic moment on the atom in μB.
Fractional coordinates of all 4 atoms:
Au  0.0000  0.0000  0.0000  0.05
Au  0.7500  0.7500  0.7500  0.05
Mn  0.2500  0.2500  0.2500  3.83
Mn  0.5000  0.5000  0.5000  3.83

## Properties
For the volume, the calculation gives 65.9 Å³ per cell. The formation energy is 9 kJ/mol of atoms. The calculation puts the theoretical density at 12.69 Mg/m³. As for the space-group type: No. 227.



[4]
Computed, not measured: an optimized crystal structure of MnAu3 at the GGA-PBE level of DFT.

a b c (Å): 4.7662 2.9173 4.9953
angles (deg): 90.00 90.00 90.00
Last column: magnetic moment on the atom in μB.
Fractional coordinates of all 4 atoms:
Au  0.0000  0.0000  0.9902  0.02
Au  0.5000  0.5000  0.1717  0.02
Au  0.0000  0.5000  0.5008  0.03
Mn  0.5000  0.0000  0.6706  3.90

## Properties
For the volume, the calculation gives 69.5 Å³ per cell. The formation energy is 2 kJ/mol of atoms. The calculation puts the theoretical density at 15.44 Mg/m³. As for the space-group type: No. 25.



[5]
Computed, not measured: an optimized crystal structure of MnAu3 at the GGA-PBE level of DFT.

a b c (Å): 5.3139 5.3139 5.3139
angles (deg): 116.56 116.56 116.56
Last column: magnetic moment on the atom in μB.
Fractional coordinates of all 4 atoms:
Au  0.5000  0.5000  0.0000  0.01
Au  0.0000  0.0000  0.0000  0.01
Au  0.0000  0.5000  0.5000  0.01
Mn  0.5000  0.0000  0.5000  3.98

## Properties
For the volume, the calculation gives 70.6 Å³ per cell. The formation energy is 9 kJ/mol of atoms. The calculation puts the theoretical density at 15.18 Mg/m³. As for the space-group type: No. 166.



[6]
Computed, not measured: an optimized crystal structure of Mn3Au2 at the GGA-PBE level of DFT.

a b c (Å): 4.4417 4.4417 5.4507
angles (deg): 90.00 90.00 120.00
Last column: magnetic moment on the atom in μB.
Fractional coordinates of all 5 atoms:
Au  0.3333  0.6667  0.8328  0.11
Au  0.6667  0.3333  0.1672  0.11
Mn  0.0000  0.0000  0.0000  3.92
Mn  0.3333  0.6667  0.3468  4.00
Mn  0.6667  0.3333  0.6532  4.00

## Properties
For the volume, the calculation gives 93.1 Å³ per cell. The formation energy is 24 kJ/mol of atoms. The calculation puts the theoretical density at 9.96 Mg/m³. As for the space-group type: No. 164.



[7]
Computed, not measured: an optimized crystal structure of Mn5Au3 at the GGA-PBE level of DFT.

a b c (Å): 5.5997 5.5997 4.0334
angles (deg): 90.00 90.00 91.59
Last column: magnetic moment on the atom in μB.
Fractional coordinates of all 8 atoms:
Au  0.7628  0.2372  0.5000  0.07
Au  0.2372  0.7628  0.5000  0.07
Au  0.5000  0.5000  0.0000  0.07
Mn  0.7432  0.7432  0.5000  3.63
Mn  0.2568  0.2568  0.5000  3.63
Mn  0.0000  0.5000  0.0000  3.60
Mn  0.0000  0.0000  0.0000  3.49
Mn  0.5000  0.0000  0.0000  3.60

## Properties
For the volume, the calculation gives 126.4 Å³ per cell. The formation energy is 13 kJ/mol of atoms. The calculation puts the theoretical density at 11.37 Mg/m³. As for the space-group type: No. 65.



[8]
Computed, not measured: an optimized crystal structure of Mn3Au at the GGA-PBE level of DFT.

a b c (Å): 2.7630 2.7630 8.5757
angles (deg): 90.00 90.00 120.00
Last column: magnetic moment on the atom in μB.
Fractional coordinates of all 4 atoms:
Mn  0.3333  0.6667  0.7261  2.91
Mn  0.3333  0.6667  0.2739  2.91
Mn  0.0000  0.0000  0.5000  -2.29
Au  0.0000  0.0000  0.0000  0.02

## Properties
For the volume, the calculation gives 56.7 Å³ per cell. The formation energy is 27 kJ/mol of atoms. The calculation puts the theoretical density at 10.60 Mg/m³. As for the space-group type: No. 187.



[9]
Computed, not measured: an optimized crystal structure of MnAu at the GGA-PBE level of DFT.

a b c (Å): 4.9810 6.1217 6.1217
angles (deg): 150.82 131.77 59.32
Last column: magnetic moment on the atom in μB.
Fractional coordinates of all 4 atoms:
Mn  0.6446  0.2533  0.3913  3.81
Mn  0.4387  0.4967  0.9420  3.81
Au  0.1385  0.7526  0.3859  0.06
Au  0.9448  0.9974  0.9474  0.06

## Properties
For the volume, the calculation gives 66.5 Å³ per cell. The formation energy is 3 kJ/mol of atoms. The calculation puts the theoretical density at 12.57 Mg/m³. As for the space-group type: No. 12.



[10]
Computed, not measured: an optimized crystal structure of MnAu at the GGA-PBE level of DFT.

a b c (Å): 8.0887 8.0887 8.0887
angles (deg): 90.00 90.00 90.00
Last column: magnetic moment on the atom in μB.
Fractional coordinates of all 16 atoms:
Mn  0.6245  0.6245  0.6245  3.99
Mn  0.6245  0.3755  0.3755  3.99
Mn  0.1245  0.1245  0.1245  3.99
Mn  0.1245  0.8755  0.8755  3.99
Mn  0.8755  0.8755  0.1245  3.99
Mn  0.3755  0.3755  0.6245  3.99
Mn  0.3755  0.6245  0.3755  3.99
Mn  0.8755  0.1245  0.8755  3.99
Au  0.3106  0.3106  0.3106  0.14
Au  0.3106  0.6894  0.6894  0.14
Au  0.8106  0.8106  0.8106  0.14
Au  0.6894  0.3106  0.6894  0.14
Au  0.1894  0.1894  0.8106  0.14
Au  0.1894  0.8106  0.1894  0.14
Au  0.6894  0.6894  0.3106  0.14
Au  0.8106  0.1894  0.1894  0.14

## Properties
For the volume, the calculation gives 529.2 Å³ per cell. The formation energy is 72 kJ/mol of atoms. The calculation puts the theoretical density at 6.32 Mg/m³. As for the space-group type: No. 217.



[11]
Computed, not measured: an optimized crystal structure of Mn5Au at the GGA-PBE level of DFT.

a b c (Å): 4.7682 4.7682 4.7682
angles (deg): 60.00 60.00 60.00
Last column: magnetic moment on the atom in μB.
Fractional coordinates of all 6 atoms:
Mn  0.3748  0.8755  0.3748  -1.46
Mn  0.7500  0.7500  0.7500  3.06
Mn  0.3748  0.3748  0.3748  -1.46
Mn  0.3748  0.3748  0.8755  -1.46
Mn  0.8755  0.3748  0.3748  -1.46
Au  0.0000  0.0000  0.0000  -0.10

## Properties
For the volume, the calculation gives 76.7 Å³ per cell. The formation energy is 20 kJ/mol of atoms. The calculation puts the theoretical density at 10.22 Mg/m³. As for the space-group type: No. 216.



[12]
Computed, not measured: an optimized crystal structure of Mn3Au at the GGA-PBE level of DFT.

a b c (Å): 4.8568 4.8568 11.2248
angles (deg): 150.33 150.33 34.19
Last column: magnetic moment on the atom in μB.
Fractional coordinates of all 4 atoms:
Au  0.0000  0.0000  0.0000  0.07
Mn  0.9887  0.9887  0.7382  3.48
Mn  0.0113  0.0113  0.2618  3.48
Mn  0.0000  0.0000  0.5000  3.52

## Properties
For the volume, the calculation gives 62.0 Å³ per cell. The formation energy is 30 kJ/mol of atoms. The calculation puts the theoretical density at 9.69 Mg/m³. As for the space-group type: No. 12.



no.,E (eV/atom)
1,-5.722
2,-5.956
3,-6.125
4,-4.733
5,-4.657
6,-6.568
7,-6.822
8,-7.418
9,-6.189
10,-5.482
11,-7.978
12,-7.388